# DyZrSn

Crystalline DyZrSn at its relaxed geometry (PBE, Alexandria via LeMat-Bulk).

Cell lengths 5.6049, 5.6049, 5.6049 Å; angles 139.31, 139.31, 58.91 degrees
Last column: nearest neighbours and their distance in Å.
Fractional positions:
Dy 0.0000 0.0000 0.0000  5 Zr 3.09-3.29, 5 Sn 3.21-3.23
Zr 0.3166 0.3166 0.0000  5 Dy 3.09-3.29, 5 Sn 3.11-3.44
Sn 0.6695 0.6695 0.0000  5 Zr 3.11-3.44, 5 Dy 3.21-3.23

## Properties
* calculated total energy: -18.2 eV per cell
* energy of formation from the pure elements: -0.356 eV/atom

# Tb5Y3Ho3

Crystalline Tb5Y3Ho3 at its relaxed geometry (PBE, Alexandria via LeMat-Bulk).

Cell lengths 9.6781, 9.6781, 5.6021 Å; angles 90.00, 90.00, 120.00 degrees
Last column: nearest neighbours and their distance in Å.
Fractional positions:
Tb 0.0000 0.7161 0.0000  3 Ho 3.19-3.43, 2 Y 3.31, 2 Tb 3.49
Tb 0.2839 0.2839 0.0000  3 Ho 3.19-3.43, 2 Y 3.31, 2 Tb 3.49
Tb 0.3333 0.6667 0.0000  3 Ho 3.10
Tb 0.6667 0.3333 0.0000  3 Ho 3.10
Tb 0.7161 0.0000 0.0000  3 Ho 3.19-3.43, 2 Y 3.31, 2 Tb 3.49
Y 0.0000 0.5338 0.5000  2 Ho 3.26, 2 Tb 3.31
Y 0.4662 0.4662 0.5000  2 Ho 3.26, 2 Tb 3.31
Y 0.5338 0.0000 0.5000  2 Ho 3.26, 2 Tb 3.31
Ho 0.0000 0.3619 0.0000  5 Tb 3.10-3.43, 2 Y 3.26
Ho 0.3619 0.0000 0.0000  5 Tb 3.10-3.43, 2 Y 3.26
Ho 0.6381 0.6381 0.0000  5 Tb 3.10-3.43, 2 Y 3.26

## Properties
* calculated total energy: -47.3 eV per cell
* energy of formation from the pure elements: 0.814 eV/atom

# Sm2Al2Pd5Au

Crystalline Sm2Al2Pd5Au at its relaxed geometry (PBE, Alexandria via LeMat-Bulk).

Cell lengths 10.0688, 10.0688, 3.6603 Å; angles 90.00, 90.00, 90.00 degrees
Last column: nearest neighbours and their distance in Å.
Fractional positions:
Sm 0.1801 0.3199 0.0000  3 Al 2.87-3.07, 6 Pd 3.15-3.18
Sm 0.3199 0.8199 0.0000  3 Al 2.87-3.07, 6 Pd 3.15-3.18
Sm 0.6801 0.1801 0.0000  3 Al 2.87-3.07, 6 Pd 3.15-3.18
Sm 0.8199 0.6801 0.0000  3 Al 2.87-3.07, 6 Pd 3.15-3.18
Al 0.1182 0.6182 0.0000  6 Pd 2.49-2.58
Al 0.3818 0.1182 0.0000  6 Pd 2.49-2.58
Al 0.6182 0.8818 0.0000  6 Pd 2.49-2.58
Al 0.8818 0.3818 0.0000  6 Pd 2.49-2.58
Pd 0.0000 0.5000 0.5000  4 Al 2.49
Pd 0.0628 0.7906 0.5000  2 Al 2.58, 2 Au 2.86
Pd 0.2094 0.0628 0.5000  2 Al 2.58, 2 Au 2.86
Pd 0.2906 0.5628 0.5000  2 Al 2.58, 2 Au 2.86
Pd 0.4372 0.2906 0.5000  2 Al 2.58, 2 Au 2.86
Pd 0.5000 0.0000 0.5000  4 Al 2.49
Pd 0.5628 0.7094 0.5000  2 Al 2.58, 2 Au 2.86
Pd 0.7094 0.4372 0.5000  2 Al 2.58, 2 Au 2.86
Pd 0.7906 0.9372 0.5000  2 Al 2.58, 2 Au 2.86
Pd 0.9372 0.2094 0.5000  2 Al 2.58, 2 Au 2.86
Au 0.0000 0.0000 0.0000  8 Pd 2.86
Au 0.5000 0.5000 0.0000  8 Pd 2.86

## Properties
* calculated total energy: -106.1 eV per cell
* energy of formation from the pure elements: -0.688 eV/atom

# GePdS2O

Crystalline GePdS2O at its relaxed geometry (PBE, Alexandria via LeMat-Bulk).

Cell lengths 4.8104, 4.8104, 3.4846 Å; angles 90.00, 90.00, 90.00 degrees
Last column: nearest neighbours and their distance in Å.
Fractional positions:
Ge 0.0000 0.0000 0.0000  2 O 1.74
Pd 0.5000 0.5000 0.5000  8 S 2.97
S 0.0000 0.5000 0.0000  2 Ge 2.41
S 0.5000 0.0000 0.0000  2 Ge 2.41
O 0.0000 0.0000 0.5000  2 Ge 1.74

## Properties
* calculated total energy: -22.8 eV per cell
* uncorrected formation energy: 0.2 eV/f.u.

# LiAl2Mo

Crystalline LiAl2Mo at its relaxed geometry (PBE, Alexandria via LeMat-Bulk).

Cell lengths 9.3497, 9.3497, 9.3497 Å; angles 156.19, 156.19, 33.93 degrees
Last column: nearest neighbours and their distance in Å.
Fractional positions:
Li 0.0000 0.0000 0.0000  4 Al 2.64, 4 Mo 2.73
Li 0.7500 0.2500 0.5000  4 Al 2.64, 4 Mo 2.73
Al 0.1373 0.6250 0.0123  2 Mo 2.60, 2 Li 2.64, 4 Al 2.66-2.80
Al 0.3750 0.3873 0.5123  2 Mo 2.60, 2 Li 2.64, 4 Al 2.66-2.80
Al 0.6127 0.1250 0.9877  2 Mo 2.60, 2 Li 2.64, 4 Al 2.66-2.80
Al 0.8750 0.8627 0.4877  2 Mo 2.60, 2 Li 2.64, 4 Al 2.66-2.80
Mo 0.2500 0.7500 0.5000  4 Al 2.60, 4 Li 2.73
Mo 0.5000 0.5000 0.0000  4 Al 2.60, 4 Li 2.73

## Properties
* ΔE to the lowest computed polymorph: 675 meV per atom
* calculated total energy: -36.6 eV per cell
* energy of formation from the pure elements: 0.484 eV/atom

# Ac4ThSe7

Crystalline Ac4ThSe7 at its relaxed geometry (PBE, Alexandria via LeMat-Bulk).

Cell lengths 7.6830, 7.6830, 12.3388 Å; angles 104.28, 104.28, 32.96 degrees
Last column: nearest neighbours and their distance in Å.
Fractional positions:
Ac 0.0000 0.0000 0.0000  6 Se 3.04-3.19
Ac 0.0983 0.0983 0.4619  6 Se 3.07-3.20
Ac 0.3070 0.3070 0.2180  8 Se 3.10-3.39
Ac 0.7062 0.7062 0.8276  7 Se 3.17-3.21
Th 0.8667 0.8667 0.5849  6 Se 2.93-2.96
Se 0.0454 0.0454 0.7606  1 Th 2.95, 3 Ac 3.17-3.19
Se 0.2757 0.2757 0.6762  2 Th 2.93, 3 Ac 3.20-3.21
Se 0.3447 0.3447 0.9696  5 Ac 3.11-3.25
Se 0.4511 0.4511 0.4810  2 Th 2.96, 2 Ac 3.13
Se 0.6585 0.6585 0.0647  5 Ac 3.14-3.31
Se 0.7203 0.7203 0.3714  1 Th 2.94, 2 Ac 3.20
Se 0.9590 0.9590 0.2296  4 Ac 3.04-3.10

## Properties
* calculated total energy: -71.1 eV per cell
* uncorrected formation energy: -22.8 eV/f.u.

# NaTh2UAs4

Crystalline NaTh2UAs4 at its relaxed geometry (PBE, Alexandria via LeMat-Bulk).

Cell lengths 7.2209, 4.2269, 7.3374 Å; angles 90.00, 109.09, 90.00 degrees
Last column: nearest neighbours and their distance in Å.
Fractional positions:
Na 0.0000 0.0000 0.0000  6 As 2.96-3.02
Th 0.5000 0.0000 0.5000  6 As 2.96-2.97
Th 0.5000 0.5000 0.0000  6 As 3.02-3.03
U 0.0000 0.5000 0.5000  6 As 2.91-2.94
As 0.2417 0.0000 0.7433  2 U 2.94, 1 Na 2.96, 3 Th 2.97-3.03
As 0.2498 0.5000 0.2597  1 U 2.91, 3 Th 2.96-3.02, 2 Na 3.02
As 0.7502 0.5000 0.7403  1 U 2.91, 3 Th 2.96-3.02, 2 Na 3.02
As 0.7583 0.0000 0.2567  2 U 2.94, 1 Na 2.96, 3 Th 2.97-3.03

## Properties
* calculated total energy: -53.8 eV per cell
* energy of formation from the pure elements: -0.968 eV/atom

# MnGePCN

Crystalline MnGePCN at its relaxed geometry (PBE, Alexandria via LeMat-Bulk).

Cell lengths 4.1292, 2.6233, 6.5864 Å; angles 90.00, 107.89, 90.00 degrees
Last column: nearest neighbours and their distance in Å.
Fractional positions:
Mn 0.0000 0.0000 0.0000  2 N 1.93, 2 C 1.97
Ge 0.2467 0.0000 0.4208  2 P 2.45-2.47, 2 Ge 2.62, 1 Mn 2.64
P 0.8492 0.0000 0.6348  1 Mn 2.29, 2 Ge 2.45-2.47
C 0.3664 0.5000 0.0213  1 N 1.25
N 0.6697 0.5000 0.0245  1 C 1.25

## Properties
* ΔE to the lowest computed polymorph: 95 meV per atom
* calculated total energy: -35.8 eV per cell
* uncorrected formation energy: 0.9 eV/f.u.